(1)
Compound: YMgIn3
Source: Alexandria via LeMat-Bulk
Functional: PBE
Structure: optimized geometry

Results
size of the total moment = 0.00 μB/cell
formation energy from the elements = 1.185 eV per formula unit
distance to the lowest polymorph of the same formula = 411 meV/atom

Structure (CIF):
```
data_YMgIn3
_cell_length_a 5.2715
_cell_length_b 5.2715
_cell_length_c 5.2715
_cell_angle_alpha 90.00
_cell_angle_beta 90.00
_cell_angle_gamma 90.00
_symmetry_space_group_name_H-M 'P m -3 m'
_symmetry_Int_Tables_number 221
_symmetry_space_group_name_Hall '-P 4 2 3'
loop_
_atom_site_label
_atom_site_type_symbol
_atom_site_fract_x
_atom_site_fract_y
_atom_site_fract_z
Y1 Y 0.0000 0.0000 0.0000
Mg1 Mg 0.5000 0.5000 0.5000
In1 In 0.0000 0.5000 0.5000
```



(2)
Compound: TlCr2Te
Source: Alexandria via LeMat-Bulk
Functional: PBE
Structure: optimized geometry

Results
size of the total moment = 36.49 μB/cell
formation energy without anion corrections = 815 meV per atom
distance to the lowest polymorph of the same formula = 473 meV/atom

Structure (CIF):
```
data_TlCr2Te
_cell_length_a 7.2694
_cell_length_b 7.2694
_cell_length_c 7.2694
_cell_angle_alpha 90.00
_cell_angle_beta 90.00
_cell_angle_gamma 90.00
_symmetry_space_group_name_H-M 'F -4 3 m'
_symmetry_Int_Tables_number 216
_symmetry_space_group_name_Hall 'F -4 2 3'
loop_
_atom_site_label
_atom_site_type_symbol
_atom_site_fract_x
_atom_site_fract_y
_atom_site_fract_z
Tl1 Tl 0.0000 0.0000 0.0000
Cr1 Cr 0.0000 0.0000 0.5000
Cr2 Cr 0.2500 0.2500 0.2500
Te1 Te 0.2500 0.2500 0.7500
```



(3)
Compound: NaTl3Sb
Source: Alexandria via LeMat-Bulk
Functional: PBE
Structure: optimized geometry

Results
size of the total moment = 0.00 μB/cell
formation energy without anion corrections = 265 meV per atom
distance to the lowest polymorph of the same formula = 371 meV/atom

Structure (CIF):
```
data_NaTl3Sb
_cell_length_a 5.9914
_cell_length_b 5.9914
_cell_length_c 5.9914
_cell_angle_alpha 90.00
_cell_angle_beta 90.00
_cell_angle_gamma 90.00
_symmetry_space_group_name_H-M 'P m -3 m'
_symmetry_Int_Tables_number 221
_symmetry_space_group_name_Hall '-P 4 2 3'
loop_
_atom_site_label
_atom_site_type_symbol
_atom_site_fract_x
_atom_site_fract_y
_atom_site_fract_z
Na1 Na 0.0000 0.0000 0.0000
Tl1 Tl 0.0000 0.5000 0.5000
Sb1 Sb 0.5000 0.5000 0.5000
```



(4)
Compound: Eu2LuMg
Source: Alexandria via LeMat-Bulk
Functional: PBE
Structure: optimized geometry

Results
size of the total moment = 57.79 μB/cell
formation energy from the elements = 0.356 eV per formula unit
distance to the lowest polymorph of the same formula = 36 meV/atom

Structure (CIF):
```
data_Eu2LuMg
_cell_length_a 8.0981
_cell_length_b 8.0981
_cell_length_c 8.0981
_cell_angle_alpha 90.00
_cell_angle_beta 90.00
_cell_angle_gamma 90.00
_symmetry_space_group_name_H-M 'F m -3 m'
_symmetry_Int_Tables_number 225
_symmetry_space_group_name_Hall '-F 4 2 3'
loop_
_atom_site_label
_atom_site_type_symbol
_atom_site_fract_x
_atom_site_fract_y
_atom_site_fract_z
Eu1 Eu 0.2500 0.2500 0.2500
Lu1 Lu 0.0000 0.0000 0.0000
Mg1 Mg 0.0000 0.0000 0.5000
```



(5)
Compound: NaGaCl4
Source: Alexandria via LeMat-Bulk
Functional: PBE
Structure: optimized geometry

Results
size of the total moment = 0.00 μB/cell
formation energy without anion corrections = -1372 meV per atom
distance to the lowest polymorph of the same formula = 20 meV/atom

Structure (CIF):
```
data_NaGaCl4
_cell_length_a 10.2712
_cell_length_b 10.2712
_cell_length_c 7.4417
_cell_angle_alpha 90.00
_cell_angle_beta 90.00
_cell_angle_gamma 90.00
_symmetry_space_group_name_H-M 'I 41/a m d'
_symmetry_Int_Tables_number 141
loop_
_symmetry_equiv_pos_as_xyz
'x,y,z'
'-x,-y,-z'
'-y+1/4,x+3/4,z+1/4'
'y+1/4,-x+3/4,-z+1/4'
'-x+1/2,-y,z+1/2'
'x+1/2,y,-z+1/2'
'y+1/4,-x+1/4,z+3/4'
'-y+1/4,x+1/4,-z+3/4'
'x,-y,-z'
'-x,y,z'
'-y+1/4,-x+1/4,-z+3/4'
'y+1/4,x+1/4,z+3/4'
'-x+1/2,y,-z+1/2'
'x+1/2,-y,z+1/2'
'y+1/4,x+3/4,-z+1/4'
'-y+1/4,-x+3/4,z+1/4'
'x+1/2,y+1/2,z+1/2'
'-x+1/2,-y+1/2,-z+1/2'
'-y+3/4,x+1/4,z+3/4'
'y+3/4,-x+1/4,-z+3/4'
'-x,-y+1/2,z'
'x,y+1/2,-z'
'y+3/4,-x+3/4,z+1/4'
'-y+3/4,x+3/4,-z+1/4'
'x+1/2,-y+1/2,-z+1/2'
'-x+1/2,y+1/2,z+1/2'
'-y+3/4,-x+3/4,-z+1/4'
'y+3/4,x+3/4,z+1/4'
'-x,y+1/2,-z'
'x,-y+1/2,z'
'y+3/4,x+1/4,-z+3/4'
'-y+3/4,-x+1/4,z+3/4'
loop_
_atom_site_label
_atom_site_type_symbol
_atom_site_fract_x
_atom_site_fract_y
_atom_site_fract_z
Na1 Na 0.0000 0.2500 0.3750
Ga1 Ga 0.0000 0.2500 0.8750
Cl1 Cl 0.0000 0.0814 0.6920
```



(6)
Compound: Y2InAs
Source: Alexandria via LeMat-Bulk
Functional: PBE
Structure: optimized geometry

Results
size of the total moment = 0.00 μB/cell
formation energy from the elements = -3.150 eV per formula unit
distance to the lowest polymorph of the same formula = 199 meV/atom

Structure (CIF):
```
data_Y2InAs
_cell_length_a 3.5542
_cell_length_b 3.6904
_cell_length_c 7.7956
_cell_angle_alpha 90.00
_cell_angle_beta 96.68
_cell_angle_gamma 90.00
_symmetry_space_group_name_H-M 'P 1 2/m 1'
_symmetry_Int_Tables_number 10
loop_
_symmetry_equiv_pos_as_xyz
'x,y,z'
'-x,-y,-z'
'-x,y,-z'
'x,-y,z'
loop_
_atom_site_label
_atom_site_type_symbol
_atom_site_fract_x
_atom_site_fract_y
_atom_site_fract_z
Y1 Y 0.0694 0.0000 0.2763
In1 In 0.5000 0.5000 0.0000
As1 As 0.5000 0.5000 0.5000
```



(7)
Compound: HoGe2Pd7
Source: Alexandria via LeMat-Bulk
Functional: PBE
Structure: optimized geometry

Results
size of the total moment = 0.00 μB/cell
formation energy from the elements = -3.320 eV per formula unit
distance to the lowest polymorph of the same formula = 323 meV/atom

Structure (CIF):
```
data_HoGe2Pd7
_cell_length_a 7.3543
_cell_length_b 12.1351
_cell_length_c 4.4822
_cell_angle_alpha 90.00
_cell_angle_beta 90.00
_cell_angle_gamma 90.00
_symmetry_space_group_name_H-M 'C m m m'
_symmetry_Int_Tables_number 65
_symmetry_space_group_name_Hall '-C 2 2'
loop_
_atom_site_label
_atom_site_type_symbol
_atom_site_fract_x
_atom_site_fract_y
_atom_site_fract_z
Ho1 Ho 0.0000 0.0000 0.0000
Ge1 Ge 0.0000 0.3024 0.5000
Pd1 Pd 0.0000 0.2298 0.0000
Pd2 Pd 0.0000 0.5000 0.5000
Pd3 Pd 0.1870 0.1216 0.5000
```



(8)
Compound: GePdRh3
Source: Alexandria via LeMat-Bulk
Functional: PBE
Structure: optimized geometry

Results
size of the total moment = 1.84 μB/cell
formation energy from the elements = 7.373 eV per formula unit
distance to the lowest polymorph of the same formula = 759 meV/atom

Structure (CIF):
```
data_GePdRh3
_cell_length_a 4.7335
_cell_length_b 4.7335
_cell_length_c 4.7335
_cell_angle_alpha 90.00
_cell_angle_beta 90.00
_cell_angle_gamma 90.00
_symmetry_space_group_name_H-M 'P m -3 m'
_symmetry_Int_Tables_number 221
_symmetry_space_group_name_Hall '-P 4 2 3'
loop_
_atom_site_label
_atom_site_type_symbol
_atom_site_fract_x
_atom_site_fract_y
_atom_site_fract_z
Ge1 Ge 0.0000 0.0000 0.0000
Pd1 Pd 0.5000 0.5000 0.5000
Rh1 Rh 0.0000 0.5000 0.5000
```



(9)
Compound: HoMg2Au
Source: Alexandria via LeMat-Bulk
Functional: PBE
Structure: optimized geometry

Results
size of the total moment = 0.10 μB/cell
formation energy from the elements = -1.299 eV per formula unit

Structure (CIF):
```
data_HoMg2Au
_cell_length_a 3.4113
_cell_length_b 3.4113
_cell_length_c 7.7355
_cell_angle_alpha 90.00
_cell_angle_beta 90.00
_cell_angle_gamma 90.00
_symmetry_space_group_name_H-M 'P 4/m m m'
_symmetry_Int_Tables_number 123
_symmetry_space_group_name_Hall '-P 4 2'
loop_
_atom_site_label
_atom_site_type_symbol
_atom_site_fract_x
_atom_site_fract_y
_atom_site_fract_z
Ho1 Ho 0.0000 0.0000 0.0000
Mg1 Mg 0.5000 0.5000 0.3009
Au1 Au 0.0000 0.0000 0.5000
```



(10)
Compound: Ca3Th2ZrAs6
Source: Alexandria via LeMat-Bulk
Functional: PBE
Structure: optimized geometry

Results
size of the total moment = 0.00 μB/cell
formation energy from the elements = -15.315 eV per formula unit

Structure (CIF):
```
data_Ca3Th2ZrAs6
_cell_length_a 7.2707
_cell_length_b 12.5977
_cell_length_c 7.2990
_cell_angle_alpha 90.00
_cell_angle_beta 109.49
_cell_angle_gamma 90.00
_symmetry_space_group_name_H-M 'C 1 2/m 1'
_symmetry_Int_Tables_number 12
loop_
_symmetry_equiv_pos_as_xyz
'x,y,z'
'-x,-y,-z'
'-x,y,-z'
'x,-y,z'
'x+1/2,y+1/2,z'
'-x+1/2,-y+1/2,-z'
'-x+1/2,y+1/2,-z'
'x+1/2,-y+1/2,z'
loop_
_atom_site_label
_atom_site_type_symbol
_atom_site_fract_x
_atom_site_fract_y
_atom_site_fract_z
Ca1 Ca 0.0000 0.0000 0.0000
Ca2 Ca 0.0000 0.3310 0.0000
Th1 Th 0.0000 0.1662 0.5000
Zr1 Zr 0.0000 0.5000 0.5000
As1 As 0.2378 0.3405 0.7356
As2 As 0.2393 0.5000 0.2644
```



(11)
Compound: TeAs2Pb
Source: Alexandria via LeMat-Bulk
Functional: PBE
Structure: optimized geometry

Results
size of the total moment = 0.00 μB/cell
formation energy without anion corrections = 286 meV per atom
distance to the lowest polymorph of the same formula = 344 meV/atom

Structure (CIF):
```
data_TeAs2Pb
_cell_length_a 5.2269
_cell_length_b 5.2269
_cell_length_c 3.5862
_cell_angle_alpha 90.00
_cell_angle_beta 90.00
_cell_angle_gamma 90.00
_symmetry_space_group_name_H-M 'P 4/m m m'
_symmetry_Int_Tables_number 123
_symmetry_space_group_name_Hall '-P 4 2'
loop_
_atom_site_label
_atom_site_type_symbol
_atom_site_fract_x
_atom_site_fract_y
_atom_site_fract_z
Te1 Te 0.0000 0.0000 0.0000
As1 As 0.0000 0.5000 0.5000
Pb1 Pb 0.5000 0.5000 0.0000
```



(12)
Compound: Re2AgSnO8
Source: Alexandria via LeMat-Bulk
Functional: PBE
Structure: optimized geometry

Results
size of the total moment = 1.73 μB/cell
formation energy without anion corrections = -1253 meV per atom

Structure (CIF):
```
data_Re2AgSnO8
_cell_length_a 11.2463
_cell_length_b 6.6553
_cell_length_c 5.8984
_cell_angle_alpha 90.00
_cell_angle_beta 98.82
_cell_angle_gamma 90.00
_symmetry_space_group_name_H-M 'C 1 2/m 1'
_symmetry_Int_Tables_number 12
loop_
_symmetry_equiv_pos_as_xyz
'x,y,z'
'-x,-y,-z'
'-x,y,-z'
'x,-y,z'
'x+1/2,y+1/2,z'
'-x+1/2,-y+1/2,-z'
'-x+1/2,y+1/2,-z'
'x+1/2,-y+1/2,z'
loop_
_atom_site_label
_atom_site_type_symbol
_atom_site_fract_x
_atom_site_fract_y
_atom_site_fract_z
Re1 Re 0.1964 0.0000 0.1384
Ag1 Ag 0.0000 0.5000 0.0000
Sn1 Sn 0.0000 0.0000 0.5000
O1 O 0.1208 0.1956 0.2743
O2 O 0.1459 0.5000 0.7773
O3 O 0.1511 0.0000 0.8381
```